[1]
K2CaY after structural relaxation, computed with PBE-GGA.

The structure belongs to space group I4/mmm (No. 139); the cell edges are 5.2927, 5.2927 and 13.6086 Å and the angles 90.00°, 90.00° and 90.00°. Symmetry generates all atoms from K at (0.0000, 0.5000, 0.2500), Ca at (0.0000, 0.0000, 0.0000) and Y at (0.0000, 0.0000, 0.5000).

For the energy relative to the elements, the calculation gives 0.469 eV/atom. The energy above the most stable polymorph in this dataset is 219 meV per atom. The value obtained for the total energy is -17.57 eV for the cell shown.


[2]
K2CaY after structural relaxation, computed with PBE-GGA.

The structure belongs to space group R-3m (No. 166, hexagonal axes); the cell edges are 3.8589, 3.8589 and 43.5167 Å and the angles 90.00°, 90.00° and 120.00°. Symmetry generates all atoms from K at (0.0000, 0.0000, 0.2476), Ca at (0.0000, 0.0000, 0.0000) and Y at (0.0000, 0.0000, 0.5000).

For the energy relative to the elements, the calculation gives 0.346 eV/atom. The energy above the most stable polymorph in this dataset is 96 meV per atom. The value obtained for the total energy is -27.84 eV for the cell shown.


[3]
K2CaY after structural relaxation, computed with PBE-GGA.

The structure belongs to space group Cmmm (No. 65); the cell edges are 4.0136, 6.4198 and 14.4919 Å and the angles 90.00°, 90.00° and 90.00°. Symmetry generates all atoms from K at (0.0000, 0.0000, 0.2434), Ca at (0.0000, 0.5000, 0.5000) and Y at (0.0000, 0.5000, 0.0000).

For the energy relative to the elements, the calculation gives 0.361 eV/atom. The energy above the most stable polymorph in this dataset is 112 meV per atom. The value obtained for the total energy is -18.43 eV for the cell shown.


[4]
K2CaY after structural relaxation, computed with PBE-GGA.

The structure belongs to space group Immm (No. 71); the cell edges are 3.9302, 6.5841 and 14.4530 Å and the angles 90.00°, 90.00° and 90.00°. Symmetry generates all atoms from K at (0.0000, 0.0000, 0.2489), Ca at (0.0000, 0.5000, 0.5000) and Y at (0.0000, 0.5000, 0.0000).

For the energy relative to the elements, the calculation gives 0.396 eV/atom. The energy above the most stable polymorph in this dataset is 146 meV per atom. The value obtained for the total energy is -18.16 eV for the cell shown.


[5]
K2CaY after structural relaxation, computed with PBE-GGA.

The structure belongs to space group P4/mmm (No. 123); the cell edges are 6.9002, 6.9002 and 4.0423 Å and the angles 90.00°, 90.00° and 90.00°. Symmetry generates all atoms from K at (0.0000, 0.5000, 0.0000), Ca at (0.0000, 0.0000, 0.5000) and Y at (0.5000, 0.5000, 0.5000).

For the energy relative to the elements, the calculation gives 0.559 eV/atom. The energy above the most stable polymorph in this dataset is 309 meV per atom. The value obtained for the total energy is -8.43 eV for the cell shown.


[6]
K2CaY after structural relaxation, computed with PBE-GGA.

The structure belongs to space group P4/mmm (No. 123); the cell edges are 3.7242, 3.7242 and 13.7328 Å and the angles 90.00°, 90.00° and 90.00°. Symmetry generates all atoms from K at (0.0000, 0.0000, 0.2443), Ca at (0.5000, 0.5000, 0.5000) and Y at (0.5000, 0.5000, 0.0000).

For the energy relative to the elements, the calculation gives 0.423 eV/atom. The energy above the most stable polymorph in this dataset is 173 meV per atom. The value obtained for the total energy is -8.97 eV for the cell shown.